Entry from the Alexandria database: Mn2CrPb at its PBEsol-relaxed geometry (meta-GGA SCAN).

Values from the calculation:
mass density: 9.9 Mg/m³
ΔH_f (0 K): 0.11 eV/atom
M_tot: 4.12 μB per cell
DOS(E_F): 2.82 states/eV/cell
VASP energy: -32.5605 eV per atom

abc: 3.098 3.098 6.419
angles: 90.00 90.00 90.00
Space group P4/mmm (No. 123)
Symmetry-distinct sites (fractional):
Mn 0.000 0.000 0.195 (multiplicity 2)
Cr 0.500 0.500 0.000 (multiplicity 1)
Pb 0.500 0.500 0.500 (multiplicity 1)